Material: Pa3Tl4InO12
Method: DFT, PBE
State: optimized geometry

a b c (Å): 8.7427 8.7427 8.7427
angles (deg): 90.00 90.00 90.00
Space group Im-3m (No. 229)
Inequivalent atoms, fractional coordinates:
Pa  0.0000  0.0000  0.5000 [6 per cell]
Tl  0.2500  0.2500  0.2500 [8 per cell]
In  0.0000  0.0000  0.0000 [2 per cell]
O  0.0000  0.0000  0.2538 [12 per cell]
O  0.0000  0.2500  0.5000 [12 per cell]

Computed properties:
- Energy relative to the elements, uncorrected: -2.2206 eV/atom
- Crystal system: cubic

***

Material: SbTe
Method: DFT, PBE
State: optimized geometry

a b c (Å): 5.3364 5.3364 16.5727
angles (deg): 90.00 90.00 120.00
Space group R-3m (No. 166, hexagonal axes)
Inequivalent atoms, fractional coordinates:
Sb  0.0000  0.0000  0.2227 [6 per cell]
Te  0.0000  0.0000  0.4024 [6 per cell]

Computed properties:
- Energy relative to the elements, uncorrected: 0.1704 eV/atom
- Excess energy over the best structure of this formula in the dataset: 0.275 eV/atom
- Crystal system: trigonal

***

Material: LiAg2Bi
Method: DFT, PBE
State: optimized geometry

a b c (Å): 6.9398 6.9398 6.9398
angles (deg): 90.00 90.00 90.00
Space group Fm-3m (No. 225)
Inequivalent atoms, fractional coordinates:
Li  0.0000  0.0000  0.0000 [4 per cell]
Ag  0.2500  0.2500  0.2500 [8 per cell]
Bi  0.0000  0.0000  0.5000 [4 per cell]

Computed properties:
- Excess energy over the best structure of this formula in the dataset: 0.048 eV/atom
- Crystal system: cubic
- ΔE_f: -0.13 eV/atom